No. 1
A relaxed structure of NbTcSe6. Source: Alexandria, functional PBE-GGA.

Cell lengths 5.8802, 6.2269, 6.3251 Å; angles 70.71, 64.48, 64.00 degrees
Closest atoms and distances in Å follow each position.
Sites, in units of the cell vectors:
1 Nb 0.0000 0.0000 0.0000  6 Se 2.51-2.62
2 Tc 0.5000 0.5000 0.5000  6 Se 2.47-2.50
3 Se 0.0430 0.7498 0.7351  1 Tc 2.50, 1 Nb 2.51
4 Se 0.3257 0.6006 0.1705  1 Se 2.48, 1 Tc 2.49, 1 Nb 2.62
5 Se 0.3853 0.1269 0.6600  1 Tc 2.47, 1 Se 2.51, 1 Nb 2.58
6 Se 0.6147 0.8731 0.3400  1 Tc 2.47, 1 Se 2.51, 1 Nb 2.58
7 Se 0.6743 0.3994 0.8295  1 Se 2.48, 1 Tc 2.49, 1 Nb 2.62
8 Se 0.9570 0.2502 0.2649  1 Tc 2.50, 1 Nb 2.51

Electronic total energy, eV per atom: -5.41
Fermi-level density of states, states/eV/cell: 5.559

No. 2
A relaxed structure of Tl2CrSbIr. Source: Alexandria, functional PBE-GGA.

Cell lengths 5.8215, 5.8215, 4.9090 Å; angles 90.00, 90.00, 90.00 degrees
Closest atoms and distances in Å follow each position.
Sites, in units of the cell vectors:
1 Tl 0.0000 0.5000 0.0000  2 Sb 2.91
2 Tl 0.5000 0.0000 0.0000  2 Sb 2.91
3 Cr 0.0000 0.0000 0.5000  8 Tl 3.81, 4 Ir 4.12
4 Sb 0.5000 0.5000 0.0000  2 Ir 2.45
5 Ir 0.5000 0.5000 0.5000  2 Sb 2.45

Electronic total energy, eV per atom: -4.27
Fermi-level density of states, states/eV/cell: 5.752

No. 3
A relaxed structure of TaTiNbPb. Source: Alexandria, functional PBE-GGA.

Cell lengths 4.7586, 4.7586, 4.7586 Å; angles 60.00, 60.00, 60.00 degrees
Closest atoms and distances in Å follow each position.
Sites, in units of the cell vectors:
1 Ta 0.0000 0.0000 0.0000  4 Nb 2.91, 4 Ti 2.91
2 Ti 0.7500 0.7500 0.7500  4 Ta 2.91, 4 Pb 2.91
3 Nb 0.2500 0.2500 0.2500  4 Ta 2.91, 4 Pb 2.91
4 Pb 0.5000 0.5000 0.5000  4 Nb 2.91, 4 Ti 2.91

Fermi-level density of states, states/eV/cell: 1.805
Calculated formation energy, eV/atom: 0.17

No. 4
A relaxed structure of SrY3Ge. Source: Alexandria, functional PBE-GGA.

Cell lengths 5.6480, 5.6480, 5.6480 Å; angles 90.00, 90.00, 90.00 degrees
Closest atoms and distances in Å follow each position.
Sites, in units of the cell vectors:
1 Sr 0.0000 0.0000 0.0000  12 Y 3.99
2 Y 0.0000 0.5000 0.5000  2 Ge 2.82
3 Y 0.5000 0.0000 0.5000  2 Ge 2.82
4 Y 0.5000 0.5000 0.0000  2 Ge 2.82
5 Ge 0.5000 0.5000 0.5000  6 Y 2.82

Excess energy over the best structure of this formula in the dataset, meV/atom: 0.0
Fermi-level density of states, states/eV/cell: 9.082
Calculated formation energy, eV/atom: -0.14

No. 5
A relaxed structure of NiAs4Br. Source: Alexandria, functional PBE-GGA.

Cell lengths 5.8208, 5.8208, 5.8208 Å; angles 60.00, 60.00, 60.00 degrees
Closest atoms and distances in Å follow each position.
Sites, in units of the cell vectors:
1 Ni 0.0000 0.0000 0.0000  12 As 3.46, 4 Br 3.56
2 As 0.1758 0.6081 0.6081  3 As 2.52
3 As 0.6081 0.1758 0.6081  3 As 2.52
4 As 0.6081 0.6081 0.1758  3 As 2.52
5 As 0.6081 0.6081 0.6081  3 As 2.52
6 Br 0.2500 0.2500 0.2500  12 As 3.38, 4 Ni 3.56

Electronic total energy, eV per atom: -3.72
Fermi-level density of states, states/eV/cell: 6.206

No. 6
A relaxed structure of CaTlIr2. Source: Alexandria, functional PBE-GGA.

Cell lengths 3.3905, 3.3905, 6.6718 Å; angles 90.00, 90.00, 90.00 degrees
Closest atoms and distances in Å follow each position.
Sites, in units of the cell vectors:
1 Ca 0.0000 0.0000 0.0000  8 Ir 3.00, 2 Tl 3.34
2 Tl 0.0000 0.0000 0.5000  8 Ir 2.85
3 Ir 0.5000 0.5000 0.2704  4 Tl 2.85, 4 Ca 3.00, 1 Ir 3.06
4 Ir 0.5000 0.5000 0.7296  4 Tl 2.85, 4 Ca 3.00, 1 Ir 3.06

Fermi-level density of states, states/eV/cell: 0.885
Calculated formation energy, eV/atom: 0.22

No. 7
A relaxed structure of Ca2SiP3. Source: Alexandria, functional PBE-GGA.

Cell lengths 3.6781, 3.6781, 10.5139 Å; angles 90.00, 90.00, 120.00 degrees
Closest atoms and distances in Å follow each position.
Sites, in units of the cell vectors:
1 Ca 0.3333 0.6667 0.3207  6 P 2.84-2.98
2 Ca 0.6667 0.3333 0.6793  6 P 2.84-2.98
3 Si 0.0000 0.0000 0.0000  6 P 2.48
4 P 0.0000 0.0000 0.5000  6 Ca 2.84
5 P 0.3333 0.6667 0.8775  3 Si 2.48
6 P 0.6667 0.3333 0.1225  3 Si 2.48

Excess energy over the best structure of this formula in the dataset, meV/atom: 0.0
Fermi-level density of states, states/eV/cell: 3.056

No. 8
A relaxed structure of Er3RuAu. Source: Alexandria, functional PBE-GGA.

Cell lengths 8.6878, 7.3068, 8.0179 Å; angles 90.00, 108.93, 90.00 degrees
Closest atoms and distances in Å follow each position.
Sites, in units of the cell vectors:
1 Er 0.0322 0.0055 0.2136  3 Ru 2.76-2.87
2 Er 0.0322 0.4945 0.7136  3 Ru 2.76-2.87
3 Er 0.2622 0.6477 0.0950  2 Ru 2.81-2.91, 2 Au 2.85-3.01
4 Er 0.2622 0.8523 0.5950  2 Ru 2.81-2.91, 2 Au 2.85-3.01
5 Er 0.3513 0.1904 0.9582  1 Ru 2.75, 2 Au 3.00-3.06
6 Er 0.3513 0.3096 0.4582  1 Ru 2.75, 2 Au 3.00-3.06
7 Er 0.6487 0.6904 0.5418  1 Ru 2.75, 2 Au 3.00-3.06
8 Er 0.6487 0.8096 0.0418  1 Ru 2.75, 2 Au 3.00-3.06
9 Er 0.7378 0.1477 0.4050  2 Ru 2.81-2.91, 2 Au 2.85-3.01
10 Er 0.7378 0.3523 0.9050  2 Ru 2.81-2.91, 2 Au 2.85-3.01
11 Er 0.9678 0.5055 0.2864  3 Ru 2.76-2.87
12 Er 0.9678 0.9945 0.7864  3 Ru 2.76-2.87
13 Ru 0.0901 0.1847 0.5470  6 Er 2.75-2.91
14 Ru 0.0901 0.3153 0.0470  6 Er 2.75-2.91
15 Ru 0.9099 0.6847 0.9530  6 Er 2.75-2.91
16 Ru 0.9099 0.8153 0.4530  6 Er 2.75-2.91
17 Au 0.4125 0.5404 0.7958  7 Er 2.85-3.18, 1 Au 3.19
18 Au 0.4125 0.9596 0.2958  7 Er 2.85-3.18, 1 Au 3.19
19 Au 0.5875 0.0404 0.7042  7 Er 2.85-3.18, 1 Au 3.19
20 Au 0.5875 0.4596 0.2042  7 Er 2.85-3.18, 1 Au 3.19

Fermi-level density of states, states/eV/cell: 16.117
Calculated formation energy, eV/atom: -0.55

No. 9
A relaxed structure of Na2MgBr. Source: Alexandria, functional PBE-GGA.

Cell lengths 5.6142, 5.6142, 5.6142 Å; angles 60.00, 60.00, 60.00 degrees
Closest atoms and distances in Å follow each position.
Sites, in units of the cell vectors:
1 Na 0.2500 0.2500 0.2500  4 Br 3.44, 4 Mg 3.44
2 Na 0.7500 0.7500 0.7500  4 Br 3.44, 4 Mg 3.44
3 Mg 0.0000 0.0000 0.0000  8 Na 3.44
4 Br 0.5000 0.5000 0.5000  8 Na 3.44

Excess energy over the best structure of this formula in the dataset, meV/atom: 104.9
Fermi-level density of states, states/eV/cell: 1.853

No. 10
A relaxed structure of SrSnPb. Source: Alexandria, functional PBE-GGA.

Cell lengths 5.4656, 5.4656, 5.4656 Å; angles 60.00, 60.00, 60.00 degrees
Closest atoms and distances in Å follow each position.
Sites, in units of the cell vectors:
1 Sr 0.0000 0.0000 0.0000  4 Sn 3.35
2 Sn 0.2500 0.2500 0.2500  4 Pb 3.35, 4 Sr 3.35
3 Pb 0.5000 0.5000 0.5000  4 Sn 3.35

Excess energy over the best structure of this formula in the dataset, meV/atom: 137.5
Fermi-level density of states, states/eV/cell: 2.785
Calculated formation energy, eV/atom: -0.29

No. 11
A relaxed structure of NaMnHgGe2. Source: Alexandria, functional PBE-GGA.

Cell lengths 4.5537, 4.5537, 5.2521 Å; angles 90.00, 90.00, 90.00 degrees
Closest atoms and distances in Å follow each position.
Sites, in units of the cell vectors:
1 Na 0.0000 0.0000 0.0000  4 Hg 3.22, 8 Ge 3.48
2 Mn 0.5000 0.5000 0.5000  4 Ge 2.28
3 Hg 0.5000 0.5000 0.0000  2 Mn 2.63
4 Ge 0.0000 0.5000 0.5000  2 Mn 2.28
5 Ge 0.5000 0.0000 0.5000  2 Mn 2.28

Fermi-level density of states, states/eV/cell: 0.668
Calculated formation energy, eV/atom: 0.02

No. 12
A relaxed structure of TaPt2Se. Source: Alexandria, functional PBE-GGA.

Cell lengths 5.3807, 5.3807, 5.3807 Å; angles 145.75, 130.78, 61.33 degrees
Closest atoms and distances in Å follow each position.
Sites, in units of the cell vectors:
1 Ta 0.0000 0.0000 0.0000  4 Se 2.74, 4 Pt 2.90
2 Pt 0.2622 0.7622 0.5000  2 Se 2.71, 4 Pt 2.75, 2 Ta 2.90
3 Pt 0.7378 0.2378 0.5000  2 Se 2.71, 4 Pt 2.75, 2 Ta 2.90
4 Se 0.5000 0.5000 0.0000  4 Pt 2.71, 4 Ta 2.74

Electronic total energy, eV per atom: -7.05
Fermi-level density of states, states/eV/cell: 2.904